1.
Below is a geometry-optimized AcSmScPb structure, with properties calculated at the PBE level.

Structure (CIF):
```
data_AcSmScPb
_symmetry_space_group_name_H-M 'F -4 3 m'
_symmetry_Int_Tables_number 216
_symmetry_space_group_name_Hall 'F -4 2 3'
_cell_length_a 7.828
_cell_length_b 7.828
_cell_length_c 7.828
_cell_angle_alpha 90.00
_cell_angle_beta 90.00
_cell_angle_gamma 90.00
loop_
_atom_site_label
_atom_site_type_symbol
_atom_site_fract_x
_atom_site_fract_y
_atom_site_fract_z
_atom_site_occupancy
Ac1 Ac 0.000 0.000 0.000 1
Sm1 Sm 0.250 0.250 0.250 1
Sc1 Sc 0.250 0.250 0.750 1
Pb1 Pb 0.000 0.000 0.500 1
```

Values from the calculation:
Energy relative to the elements: -45.8 meV/atom
D(E_F): 25.925 states/eV per cell
V: 480 Å³/cell

2.
Below is a geometry-optimized AcScSnPb structure, with properties calculated at the PBE level.

Structure (CIF):
```
data_AcScSnPb
_symmetry_space_group_name_H-M 'F -4 3 m'
_symmetry_Int_Tables_number 216
_symmetry_space_group_name_Hall 'F -4 2 3'
_cell_length_a 7.819
_cell_length_b 7.819
_cell_length_c 7.819
_cell_angle_alpha 90.00
_cell_angle_beta 90.00
_cell_angle_gamma 90.00
loop_
_atom_site_label
_atom_site_type_symbol
_atom_site_fract_x
_atom_site_fract_y
_atom_site_fract_z
_atom_site_occupancy
Ac1 Ac 0.000 0.000 0.000 1
Sc1 Sc 0.000 0.000 0.500 1
Sn1 Sn 0.250 0.250 0.250 1
Pb1 Pb 0.250 0.250 0.750 1
```

Values from the calculation:
Energy relative to the elements: -366.6 meV/atom
D(E_F): 22.209 states/eV per cell
V: 478 Å³/cell